# 1
Entry from Alexandria: an optimized crystal structure of Sc5CuBi (PBE).

E_form (kJ/mol of atoms): -10
Magnetization (μB per atom): 0.10

```
Sc5CuBi
1.0
5.4132 -0.7859 -0.1389
0.9721 5.3829 -0.1389
2.7604 1.9873 10.5512
Sc Cu Bi
10 2 2
Direct
0.9218 0.5560 0.1259
0.2196 0.5130 0.5688
0.5560 0.9218 0.6259
0.9878 0.0122 0.2500
0.4870 0.7804 0.9312
0.5130 0.2196 0.0688
0.0122 0.9878 0.7500
0.4440 0.0782 0.3741
0.7804 0.4870 0.4312
0.0782 0.4440 0.8741
0.0000 0.0000 0.0000
0.0000 0.0000 0.5000
0.3797 0.6203 0.2500
0.6203 0.3797 0.7500
```



# 2
Entry from Alexandria: an optimized crystal structure of ScCu3Bi (PBE).

E_form (kJ/mol of atoms): 77
Relative energy among the computed polymorphs (kJ/mol of formula units): 0
Magnetization (μB per atom): 0.06

```
ScCu3Bi
1.0
-2.2692 -3.8797 1.9824
1.5093 -2.7968 -3.7459
4.0871 -1.1213 2.4840
Sc Bi Cu
1 1 3
Direct
0.5000 0.5000 0.5000
0.0000 0.0000 0.0000
0.0000 0.5000 0.0000
0.0000 0.0000 0.5000
0.5000 0.0000 0.0000
```



# 3
Entry from Alexandria: an optimized crystal structure of Sc3CuBi (PBE).

E_form (kJ/mol of atoms): 69
Relative energy among the computed polymorphs (kJ/mol of formula units): 429
Magnetization (μB per atom): 0.46

```
Sc3CuBi
1.0
-1.4577 4.2966 -2.9835
-5.0203 -0.2793 2.0507
1.4691 3.3088 4.0472
Sc Bi Cu
3 1 1
Direct
0.0000 0.5000 0.0000
0.0000 0.0000 0.5000
0.5000 0.0000 0.0000
0.0000 0.0000 0.0000
0.5000 0.5000 0.5000
```